(1)
{"formula": "CaSn2Te2", "functional": "GGA-PBE", "state": "relaxed", "lattice": [[8.305, 0.000, 0.000], [0.000, 8.305, 0.000], [0.000, 0.000, 4.622]], "species": ["Te", "Te", "Te", "Te", "Sn", "Sn", "Sn", "Sn", "Ca", "Ca"], "frac_coords": [[0.664, 0.164, 0.000], [0.836, 0.664, 0.000], [0.164, 0.336, 0.000], [0.336, 0.836, 0.000], [0.660, 0.840, 0.500], [0.340, 0.160, 0.500], [0.840, 0.340, 0.500], [0.160, 0.660, 0.500], [0.000, 0.000, 0.000], [0.500, 0.500, 0.000]], "formation_energy_uncorrected_ev_per_atom": -0.4333, "dos_at_fermi_per_ev_cell": 2.1}

=====

(2)
{"formula": "CaSn6Te8", "functional": "GGA-PBE", "state": "relaxed", "lattice": [[4.690, 0.000, 0.000], [0.000, 9.614, -5.551], [0.000, 0.000, 11.102]], "species": ["Sn", "Sn", "Sn", "Sn", "Sn", "Sn", "Te", "Te", "Te", "Te", "Te", "Te", "Te", "Te", "Ca"], "frac_coords": [[0.275, 0.334, 0.871], [0.725, 0.666, 0.129], [0.275, 0.537, 0.666], [0.725, 0.463, 0.334], [0.275, 0.129, 0.463], [0.725, 0.871, 0.537], [0.242, 0.263, 0.290], [0.242, 0.710, 0.973], [0.242, 0.027, 0.737], [0.251, 0.667, 0.333], [0.749, 0.333, 0.667], [0.758, 0.290, 0.027], [0.758, 0.973, 0.263], [0.758, 0.737, 0.710], [0.500, 0.000, 0.000]], "formation_energy_uncorrected_ev_per_atom": -0.3365, "dos_at_fermi_per_ev_cell": 7.5}

=====

(3)
{"formula": "CaSn4Te6", "functional": "GGA-PBE", "state": "relaxed", "lattice": [[5.874, 0.059, -2.248], [-1.123, 5.314, -3.165], [0.991, -0.317, 11.746]], "species": ["Te", "Te", "Te", "Te", "Te", "Te", "Sn", "Sn", "Sn", "Sn", "Ca"], "frac_coords": [[0.017, 0.655, 0.663], [0.858, 0.817, 0.337], [0.165, 0.523, 0.000], [0.353, 0.329, 0.337], [0.671, 0.081, 0.000], [0.521, 0.143, 0.663], [0.356, 0.821, 0.330], [0.836, 0.286, 0.310], [0.524, 0.664, 0.689], [0.025, 0.161, 0.671], [0.174, 0.020, 0.000]], "formation_energy_uncorrected_ev_per_atom": -0.4103, "dos_at_fermi_per_ev_cell": 8.5}